Below is crystalline MnAlGaO4 at its relaxed geometry, with properties calculated at the GGA+U level.

For the spin magnetization, the calculation gives 0.7143 μB per atom. As for the space group: No. 63. The uncorrected energy comes out at -7.029 eV per atom. As for the volume: 163 Å³ per cell.

Cell lengths 5.3883, 5.3883, 6.1287 Å; angles 90.00, 90.00, 113.50 degrees
With the nearest neighbours (Å) after each atom.
Element x y z (fractional)
Mn  0.0000  0.0000  0.0000  6 O 2.21-2.24
Mn  0.0000  0.0000  0.5000  6 O 2.21-2.24
Al  0.3542  0.6458  0.7500  4 O 1.77-1.82
Al  0.6458  0.3542  0.2500  4 O 1.77-1.82
Ga  0.3492  0.6508  0.2500  4 O 1.84-1.94
Ga  0.6508  0.3492  0.7500  4 O 1.84-1.94
O  0.2455  0.7545  0.5094  1 Al 1.77, 1 Ga 1.84
O  0.2455  0.7545  0.9906  1 Al 1.77, 1 Ga 1.84
O  0.2700  0.2827  0.7500  1 Al 1.82, 1 Ga 1.94
O  0.2827  0.2700  0.2500  1 Al 1.82, 1 Ga 1.94
O  0.7173  0.7300  0.7500  1 Al 1.82, 1 Ga 1.94
O  0.7300  0.7173  0.2500  1 Al 1.82, 1 Ga 1.94
O  0.7545  0.2455  0.0094  1 Al 1.77, 1 Ga 1.84
O  0.7545  0.2455  0.4906  1 Al 1.77, 1 Ga 1.84